A geometry-optimized Ho2AlNiO6 structure. Source: Alexandria, functional PBE+U.

Unit cell a=5.212 b=5.542 c=7.436 alpha=90.00 beta=89.69 gamma=90.00
Last column: magnetic moment on the atom in μB.
Sites, in units of the cell vectors:
O: 0.795 0.812 0.552  0.10
O: 0.897 0.532 0.246  0.14
O: 0.809 0.798 0.947  0.15
O: 0.397 0.968 0.746  0.14
O: 0.691 0.298 0.553  0.15
O: 0.103 0.468 0.754  0.14
O: 0.295 0.688 0.052  0.10
O: 0.309 0.702 0.447  0.15
O: 0.205 0.188 0.448  0.10
O: 0.191 0.202 0.053  0.15
O: 0.603 0.032 0.254  0.14
O: 0.705 0.312 0.948  0.10
Ni: 0.000 0.500 0.500  2.11
Ni: 0.500 0.000 0.000  2.11
Ho: 0.018 0.930 0.251  0.00
Ho: 0.982 0.070 0.749  0.00
Ho: 0.482 0.430 0.249  0.00
Ho: 0.518 0.570 0.751  0.00
Al: 0.500 0.000 0.500  0.01
Al: 0.000 0.500 0.000  0.01

Size of the total moment ... 3.02 μB per formula unit
SG ... P2_1/c, No. 14
Calculated volume ... 214.78 Å³/cell
E_tot ... -7.23 eV per atom